A plane-wave DFT calculation with PBE-GGA was carried out for a geometry-optimized BaZrRe2 structure.

## Properties
Uncorrected energy (eV per atom): -7.6959
V (Å³/f.u.): 84.02
Space group: Fm-3m (225)

```
BaZrRe2
1.0
0.000 3.476 3.476
3.476 0.000 3.476
3.476 3.476 0.000
Zr Re Ba
1 2 1
direct
0.000 0.000 0.000 Zr
0.250 0.250 0.250 Re
0.750 0.750 0.750 Re
0.500 0.500 0.500 Ba
```

=====

A plane-wave DFT calculation with PBE-GGA was carried out for a geometry-optimized CdGaTcSn2 structure.

## Properties
Uncorrected energy (eV per atom): -4.3468
V (Å³/f.u.): 133.36
Space group: P4/mmm (123)

```
CdGaTcSn2
1.0
5.191 0.000 0.000
0.000 5.191 0.000
0.000 0.000 4.949
Cd Sn Tc Ga
1 2 1 1
direct
0.500 0.500 0.500 Cd
0.500 0.000 0.000 Sn
0.000 0.500 0.000 Sn
0.000 0.000 0.000 Tc
0.000 0.000 0.500 Ga
```

=====

A plane-wave DFT calculation with PBE-GGA was carried out for a geometry-optimized Tl2Sn structure.

## Properties
Uncorrected energy (eV per atom): -2.7275
V (Å³/f.u.): 94.18
Space group: Fd-3m (227)

```
Tl2Sn
1.0
6.434 0.000 0.000
3.217 5.572 0.000
3.217 1.857 5.254
Sn Tl
2 4
direct
0.000 0.000 0.000 Sn
0.250 0.250 0.250 Sn
0.625 0.625 0.625 Tl
0.625 0.625 0.125 Tl
0.625 0.125 0.625 Tl
0.125 0.625 0.625 Tl
```

=====

A plane-wave DFT calculation with PBE-GGA was carried out for a geometry-optimized Ag2BSe2 structure.

## Properties
V (Å³/f.u.): 103.52
Space group: I4/mmm (139)
Formation energy (no corrections) (eV/atom): 1.04

```
Ag2BSe2
1.0
3.707 0.000 0.000
0.000 3.707 0.000
1.854 1.854 7.532
Se Ag B
2 2 1
direct
0.750 0.250 0.500 Se
0.250 0.750 0.500 Se
0.413 0.413 0.174 Ag
0.587 0.587 0.826 Ag
0.000 0.000 0.000 B
```

=====

A plane-wave DFT calculation with PBE-GGA was carried out for a geometry-optimized Sc8Ni2Au structure.

## Properties
Uncorrected energy (eV per atom): -6.2471
V (Å³/f.u.): 230.65
Space group: C2/m (12)

```
Sc8Ni2Au
1.0
-3.156 0.149 1.201
-0.902 -8.234 -1.349
5.059 4.810 7.937
Ni Sc Au
2 8 1
direct
0.753 0.219 0.505 Ni
0.247 0.781 0.495 Ni
0.130 0.097 0.261 Sc
0.347 0.193 0.693 Sc
0.316 0.510 0.631 Sc
0.971 0.643 0.941 Sc
0.029 0.357 0.059 Sc
0.870 0.903 0.739 Sc
0.684 0.490 0.369 Sc
0.653 0.807 0.307 Sc
0.500 0.000 0.000 Au
```

=====

A plane-wave DFT calculation with PBE-GGA was carried out for a geometry-optimized Th2Zn15Rh2 structure.

## Properties
Uncorrected energy (eV per atom): -2.8640
V (Å³/f.u.): 312.09
Space group: R-3m (166)

```
Th2Zn15Rh2
1.0
-0.862 -0.081 6.765
-0.760 -6.754 0.558
6.505 -1.341 1.549
Rh Zn Th
2 15 2
direct
0.118 0.118 0.118 Rh
0.882 0.882 0.882 Rh
0.000 0.500 0.000 Zn
0.843 0.351 0.351 Zn
0.351 0.843 0.351 Zn
0.720 0.280 0.000 Zn
0.280 0.000 0.720 Zn
0.157 0.649 0.649 Zn
0.500 0.000 0.000 Zn
0.720 0.000 0.280 Zn
0.649 0.649 0.157 Zn
0.351 0.351 0.843 Zn
0.649 0.157 0.649 Zn
0.000 0.280 0.720 Zn
0.000 0.720 0.280 Zn
0.280 0.720 0.000 Zn
0.000 0.000 0.500 Zn
0.666 0.666 0.666 Th
0.334 0.334 0.334 Th
```

=====

A plane-wave DFT calculation with PBE-GGA was carried out for a geometry-optimized Ni2OsBr structure.

## Properties
V (Å³/f.u.): 56.06
Space group: Immm (71)
Formation energy (no corrections) (eV/atom): 0.95

```
Ni2OsBr
1.0
-1.278 -3.886 -3.007
3.859 -2.669 -1.939
-2.473 1.541 4.158
Br Os Ni
1 1 2
direct
0.250 0.750 0.500 Br
0.750 0.250 0.500 Os
0.003 0.003 0.000 Ni
0.497 0.497 0.000 Ni
```

=====

A plane-wave DFT calculation with PBE-GGA was carried out for a geometry-optimized SrRe2Au structure.

## Properties
Uncorrected energy (eV per atom): -6.5091
V (Å³/f.u.): 74.45
Space group: P4/mmm (123)

```
SrRe2Au
1.0
2.782 0.042 0.000
-0.042 2.782 0.000
0.000 0.000 9.615
Sr Re Au
1 2 1
direct
0.500 0.500 0.250 Sr
0.000 0.000 0.971 Re
0.000 0.000 0.529 Re
0.500 0.500 0.750 Au
```

=====

A plane-wave DFT calculation with PBE-GGA was carried out for a geometry-optimized AlTc structure.

## Properties
Uncorrected energy (eV per atom): -7.3222
V (Å³/f.u.): 28.38
Space group: Pm-3m (221)

```
AlTc
1.0
3.050 0.000 0.000
0.000 3.050 0.000
0.000 0.000 3.050
Tc Al
1 1
direct
0.500 0.500 0.500 Tc
0.000 0.000 0.000 Al
```

=====

A plane-wave DFT calculation with PBE-GGA was carried out for a geometry-optimized MgGeOs3 structure.

## Properties
Uncorrected energy (eV per atom): -6.5754
V (Å³/f.u.): 94.03
Space group: Pm-3m (221)

```
MgGeOs3
1.0
4.547 0.000 0.000
0.000 4.547 0.000
0.000 0.000 4.547
Ge Os Mg
1 3 1
direct
0.000 0.000 0.000 Ge
0.000 0.500 0.000 Os
0.000 0.000 0.500 Os
0.500 0.000 0.000 Os
0.500 0.500 0.500 Mg
```

=====

A plane-wave DFT calculation with PBE-GGA was carried out for a geometry-optimized Pm4Zn5Ru2 structure.

## Properties
Uncorrected energy (eV per atom): -4.2411
V (Å³/f.u.): 248.14
Space group: P2/m (10)

```
Pm4Zn5Ru2
1.0
3.959 0.000 0.000
0.000 7.039 -0.018
0.000 -0.704 8.907
Ru Pm Zn
2 4 5
direct
0.000 0.939 0.354 Ru
0.000 0.061 0.646 Ru
0.500 0.243 0.437 Pm
0.500 0.819 0.140 Pm
0.500 0.757 0.563 Pm
0.500 0.181 0.860 Pm
0.000 0.560 0.310 Zn
0.000 0.500 0.000 Zn
0.000 0.801 0.843 Zn
0.000 0.440 0.690 Zn
0.000 0.199 0.157 Zn
```